# 1
Compound: Cs2RbYCl6
Source: Alexandria via LeMat-Bulk
Functional: GGA-PBEsol
Structure: optimized geometry Values from VASP.

Space-group type: Fm-3m (225)
Formation energy without anion corrections, eV per formula unit: -21.30
Spin magnetization, μB/atom: 0.00

Quantum ESPRESSO input file:
```
&SYSTEM
  ibrav = 0, nat = 10, ntyp = 4
/
ATOMIC_SPECIES
Cs 132.91 Cs.upf
Rb 85.47 Rb.upf
Y 88.91 Y.upf
Cl 35.45 Cl.upf
CELL_PARAMETERS angstrom
0.000 5.653 5.653
5.653 0.000 5.653
5.653 5.653 0.000
ATOMIC_POSITIONS crystal
Cs 0.250 0.250 0.250
Cs 0.750 0.750 0.750
Rb 0.000 0.000 0.000
Y 0.500 0.500 0.500
Cl 0.270 0.270 0.730
Cl 0.270 0.730 0.270
Cl 0.270 0.730 0.730
Cl 0.730 0.270 0.270
Cl 0.730 0.270 0.730
Cl 0.730 0.730 0.270
```

# 2
Compound: CsReCl3
Source: Alexandria via LeMat-Bulk
Functional: GGA-PBEsol
Structure: optimized geometry Values from VASP.

Space-group type: Pm-3m (221)
Formation energy without anion corrections, eV per formula unit: -2.70
Spin magnetization, μB/atom: 0.51

Quantum ESPRESSO input file:
```
&SYSTEM
  ibrav = 0, nat = 5, ntyp = 3
/
ATOMIC_SPECIES
Cs 132.91 Cs.upf
Re 186.21 Re.upf
Cl 35.45 Cl.upf
CELL_PARAMETERS angstrom
4.923 0.000 0.000
0.000 4.923 0.000
0.000 0.000 4.923
ATOMIC_POSITIONS crystal
Cs 0.000 0.000 0.000
Re 0.500 0.500 0.500
Cl 0.000 0.500 0.500
Cl 0.500 0.000 0.500
Cl 0.500 0.500 0.000
```

# 3
Compound: Cs2ScReCl
Source: Alexandria via LeMat-Bulk
Functional: GGA-PBEsol
Structure: optimized geometry Values from VASP.

Space-group type: P4/mmm (123)
Formation energy without anion corrections, eV per formula unit: 5.43
Spin magnetization, μB/atom: 0.37

Quantum ESPRESSO input file:
```
&SYSTEM
  ibrav = 0, nat = 5, ntyp = 4
/
ATOMIC_SPECIES
Cs 132.91 Cs.upf
Sc 44.96 Sc.upf
Re 186.21 Re.upf
Cl 35.45 Cl.upf
CELL_PARAMETERS angstrom
6.393 0.000 0.000
0.000 6.393 0.000
0.000 0.000 4.366
ATOMIC_POSITIONS crystal
Cs 0.000 0.500 0.000
Cs 0.500 0.000 0.000
Sc 0.000 0.000 0.500
Re 0.500 0.500 0.500
Cl 0.500 0.500 0.000
```

# 4
Compound: Cs2ReTcCl
Source: Alexandria via LeMat-Bulk
Functional: GGA-PBEsol
Structure: optimized geometry Values from VASP.

Space-group type: P4/mmm (123)
Formation energy without anion corrections, eV per formula unit: 8.90
Spin magnetization, μB/atom: 0.91

Quantum ESPRESSO input file:
```
&SYSTEM
  ibrav = 0, nat = 5, ntyp = 4
/
ATOMIC_SPECIES
Cs 132.91 Cs.upf
Re 186.21 Re.upf
Tc 98.00 Tc.upf
Cl 35.45 Cl.upf
CELL_PARAMETERS angstrom
6.316 0.000 0.000
0.000 6.316 0.000
0.000 0.000 4.362
ATOMIC_POSITIONS crystal
Cs 0.000 0.500 0.000
Cs 0.500 0.000 0.000
Re 0.000 0.000 0.500
Tc 0.500 0.500 0.000
Cl 0.500 0.500 0.500
```

# 5
Compound: Cs3Ru2Cl9
Source: Alexandria via LeMat-Bulk
Functional: GGA-PBEsol
Structure: optimized geometry Values from VASP.

Space-group type: P6_3/mmc (194)
Formation energy without anion corrections, eV per formula unit: -17.27
Spin magnetization, μB/atom: 0.00

Quantum ESPRESSO input file:
```
&SYSTEM
  ibrav = 0, nat = 28, ntyp = 3
/
ATOMIC_SPECIES
Cs 132.91 Cs.upf
Ru 101.07 Ru.upf
Cl 35.45 Cl.upf
CELL_PARAMETERS angstrom
7.177 0.000 0.000
-3.589 6.216 0.000
0.000 0.000 17.429
ATOMIC_POSITIONS crystal
Cs 0.000 0.000 0.250
Cs 0.000 0.000 0.750
Cs 0.333 0.667 0.072
Cs 0.333 0.667 0.428
Cs 0.667 0.333 0.572
Cs 0.667 0.333 0.928
Ru 0.333 0.667 0.675
Ru 0.333 0.667 0.825
Ru 0.667 0.333 0.175
Ru 0.667 0.333 0.325
Cl 0.017 0.508 0.750
Cl 0.181 0.363 0.597
Cl 0.181 0.363 0.903
Cl 0.181 0.819 0.597
Cl 0.181 0.819 0.903
Cl 0.363 0.181 0.097
Cl 0.363 0.181 0.403
Cl 0.492 0.508 0.750
Cl 0.492 0.983 0.750
Cl 0.508 0.017 0.250
Cl 0.508 0.492 0.250
Cl 0.637 0.819 0.597
Cl 0.637 0.819 0.903
Cl 0.819 0.181 0.097
Cl 0.819 0.181 0.403
Cl 0.819 0.637 0.097
Cl 0.819 0.637 0.403
Cl 0.983 0.492 0.250
```

# 6
Compound: CsSb2SCl
Source: Alexandria via LeMat-Bulk
Functional: GGA-PBEsol
Structure: optimized geometry Values from VASP.

Space-group type: P4/mmm (123)
Formation energy without anion corrections, eV per formula unit: -1.13
Spin magnetization, μB/atom: 0.00

Quantum ESPRESSO input file:
```
&SYSTEM
  ibrav = 0, nat = 5, ntyp = 4
/
ATOMIC_SPECIES
Cs 132.91 Cs.upf
Sb 121.76 Sb.upf
S 32.06 S.upf
Cl 35.45 Cl.upf
CELL_PARAMETERS angstrom
5.092 0.000 0.000
0.000 5.092 0.000
0.000 0.000 7.092
ATOMIC_POSITIONS crystal
Cs 0.000 0.000 0.000
Sb 0.000 0.500 0.500
Sb 0.500 0.000 0.500
S 0.000 0.000 0.500
Cl 0.500 0.500 0.000
```

# 7
Compound: CsSiSCl2
Source: Alexandria via LeMat-Bulk
Functional: GGA-PBEsol
Structure: optimized geometry Values from VASP.

Space-group type: P4/mmm (123)
Formation energy without anion corrections, eV per formula unit: -4.84
Spin magnetization, μB/atom: 0.00

Quantum ESPRESSO input file:
```
&SYSTEM
  ibrav = 0, nat = 5, ntyp = 4
/
ATOMIC_SPECIES
Cs 132.91 Cs.upf
Si 28.09 Si.upf
S 32.06 S.upf
Cl 35.45 Cl.upf
CELL_PARAMETERS angstrom
5.124 0.000 0.000
0.000 5.124 0.000
0.000 0.000 4.544
ATOMIC_POSITIONS crystal
Cs 0.000 0.000 0.000
Si 0.500 0.500 0.500
S 0.500 0.500 0.000
Cl 0.000 0.500 0.500
Cl 0.500 0.000 0.500
```

# 8
Compound: CsZrS2Cl
Source: Alexandria via LeMat-Bulk
Functional: GGA-PBEsol
Structure: optimized geometry Values from VASP.

Space-group type: P4/mmm (123)
Formation energy without anion corrections, eV per formula unit: -7.89
Spin magnetization, μB/atom: 0.00

Quantum ESPRESSO input file:
```
&SYSTEM
  ibrav = 0, nat = 5, ntyp = 4
/
ATOMIC_SPECIES
Cs 132.91 Cs.upf
Zr 91.22 Zr.upf
S 32.06 S.upf
Cl 35.45 Cl.upf
CELL_PARAMETERS angstrom
4.995 0.000 0.000
0.000 4.995 0.000
0.000 0.000 5.182
ATOMIC_POSITIONS crystal
Cs 0.000 0.000 0.000
Zr 0.500 0.500 0.500
S 0.000 0.500 0.500
S 0.500 0.000 0.500
Cl 0.500 0.500 0.000
```

# 9
Compound: Cs2SbCl
Source: Alexandria via LeMat-Bulk
Functional: GGA-PBEsol
Structure: optimized geometry Values from VASP.

Space-group type: I-42d (122)
Formation energy without anion corrections, eV per formula unit: -2.75
Spin magnetization, μB/atom: 0.50

Quantum ESPRESSO input file:
```
&SYSTEM
  ibrav = 0, nat = 8, ntyp = 3
/
ATOMIC_SPECIES
Cs 132.91 Cs.upf
Sb 121.76 Sb.upf
Cl 35.45 Cl.upf
CELL_PARAMETERS angstrom
-4.745 4.745 4.561
4.745 -4.745 4.561
4.745 4.745 -4.561
ATOMIC_POSITIONS crystal
Cs 0.076 0.625 0.951
Cs 0.375 0.326 0.451
Cs 0.674 0.125 0.049
Cs 0.875 0.924 0.549
Sb 0.250 0.750 0.500
Sb 0.500 0.500 0.000
Cl 0.000 0.000 0.000
Cl 0.750 0.250 0.500
```

# 10
Compound: Cs2SbCl6
Source: Alexandria via LeMat-Bulk
Functional: GGA-PBEsol
Structure: optimized geometry Values from VASP.

Space-group type: Fm-3m (225)
Formation energy without anion corrections, eV per formula unit: -12.49
Spin magnetization, μB/atom: 0.00

Quantum ESPRESSO input file:
```
&SYSTEM
  ibrav = 0, nat = 9, ntyp = 3
/
ATOMIC_SPECIES
Cs 132.91 Cs.upf
Sb 121.76 Sb.upf
Cl 35.45 Cl.upf
CELL_PARAMETERS angstrom
0.000 5.167 5.167
5.167 0.000 5.167
5.167 5.167 0.000
ATOMIC_POSITIONS crystal
Cs 0.250 0.250 0.250
Cs 0.750 0.750 0.750
Sb 0.000 0.000 0.000
Cl 0.244 0.244 0.756
Cl 0.244 0.756 0.244
Cl 0.244 0.756 0.756
Cl 0.756 0.244 0.244
Cl 0.756 0.244 0.756
Cl 0.756 0.756 0.244
```

# 11
Compound: Cs2Sb2Cl
Source: Alexandria via LeMat-Bulk
Functional: GGA-PBEsol
Structure: optimized geometry Values from VASP.

Space-group type: I4/mmm (139)
Formation energy without anion corrections, eV per formula unit: -4.61
Spin magnetization, μB/atom: 0.00

Quantum ESPRESSO input file:
```
&SYSTEM
  ibrav = 0, nat = 5, ntyp = 3
/
ATOMIC_SPECIES
Cs 132.91 Cs.upf
Sb 121.76 Sb.upf
Cl 35.45 Cl.upf
CELL_PARAMETERS angstrom
-2.126 2.126 10.433
2.126 -2.126 10.433
2.126 2.126 -10.433
ATOMIC_POSITIONS crystal
Cs 0.092 0.092 0.000
Cs 0.908 0.908 0.000
Sb 0.250 0.750 0.500
Sb 0.750 0.250 0.500
Cl 0.500 0.500 0.000
```

# 12
Compound: Cs3ScCl6
Source: Alexandria via LeMat-Bulk
Functional: GGA-PBEsol
Structure: optimized geometry Values from VASP.

Space-group type: Fm-3m (225)
Formation energy without anion corrections, eV per formula unit: -20.56
Spin magnetization, μB/atom: 0.00

Quantum ESPRESSO input file:
```
&SYSTEM
  ibrav = 0, nat = 10, ntyp = 3
/
ATOMIC_SPECIES
Cs 132.91 Cs.upf
Sc 44.96 Sc.upf
Cl 35.45 Cl.upf
CELL_PARAMETERS angstrom
0.000 5.651 5.651
5.651 0.000 5.651
5.651 5.651 0.000
ATOMIC_POSITIONS crystal
Cs 0.000 0.000 0.000
Cs 0.250 0.250 0.250
Cs 0.750 0.750 0.750
Sc 0.500 0.500 0.500
Cl 0.282 0.282 0.718
Cl 0.282 0.718 0.282
Cl 0.282 0.718 0.718
Cl 0.718 0.282 0.282
Cl 0.718 0.282 0.718
Cl 0.718 0.718 0.282
```